Density functional theory data (GGA-PBEsol) for crystalline HgTeSe2O at its relaxed geometry.

The structure in POSCAR format:
```
HgTeSe2O
1.0
5.278 0.000 0.000
0.000 5.278 0.000
0.000 0.000 5.611
Se O Te Hg
2 1 1 1
direct
0.500 0.000 0.000
0.000 0.500 0.000
0.500 0.500 0.500
0.000 0.000 0.000
0.000 0.000 0.500
```

Results
Space-group type ... No. 123
Formation energy (no corrections) ... 974 meV per atom
Mass density ... 5.33 g/cm³
Total moment ... 2.0 μB per formula unit
V ... 156.3 Å³/cell
Electronic total energy ... -12.174 eV/cell